InTe2P | PBE | relaxed

Computed properties:
The energy above the most stable polymorph in this dataset comes out at 18.4 meV/atom. The calculation puts the raw formation energy at 0.042 eV per atom.

a = 13.522 Å, b = 4.104 Å, c = 4.945 Å
α = 90.00°, β = 109.47°, γ = 90.00°
Space group Cm (No. 8)
Symmetry-distinct sites (fractional):
In 0.000 0.000 0.000 x2
Te 0.188 0.000 0.764 x2
Te 0.410 0.000 0.526 x2
P 0.085 0.500 0.439 x2

AcErSi2 | PBE | relaxed

Computed properties:
The energy above the most stable polymorph in this dataset comes out at 92.8 meV/atom. The calculation puts the raw formation energy at -0.497 eV per atom.

a = 3.833 Å, b = 3.833 Å, c = 6.642 Å
α = 90.00°, β = 90.00°, γ = 90.00°
Space group P4/mmm (No. 123)
Symmetry-distinct sites (fractional):
Ac 0.000 0.000 0.000 x1
Er 0.000 0.000 0.500 x1
Si 0.500 0.500 0.315 x2

CaMgGa3 | PBE | relaxed

Computed properties:
Its energy relative to the elements is 0.688 eV per atom.

a = 5.521 Å, b = 5.521 Å, c = 5.521 Å
α = 90.00°, β = 90.00°, γ = 90.00°
Space group Pm-3m (No. 221)
Symmetry-distinct sites (fractional):
Ca 0.000 0.000 0.000 x1
Mg 0.500 0.500 0.500 x1
Ga 0.000 0.000 0.500 x3

BaCuMo4 | PBE | relaxed

Computed properties:
Its energy relative to the elements is 0.994 eV per atom.

a = 7.753 Å, b = 7.753 Å, c = 7.753 Å
α = 90.00°, β = 90.00°, γ = 90.00°
Space group F-43m (No. 216)
Symmetry-distinct sites (fractional):
Ba 0.000 0.000 0.000 x4
Cu 0.250 0.250 0.750 x4
Mo 0.125 0.125 0.375 x16